{
  "formula": "Ho4MgCu2Ru",
  "functional": "PBE-GGA",
  "state": "optimized geometry",
  "lattice_angstrom": [[4.974, 0.000, 0.000], [2.487, 4.307, 0.000], [2.487, 1.436, 8.130]],
  "species": ["Ho", "Ho", "Ho", "Ho", "Cu", "Cu", "Ru", "Mg"],
  "frac_coords": [[0.867, 0.867, 0.399], [0.133, 0.133, 0.601], [0.385, 0.385, 0.845], [0.615, 0.615, 0.155], [0.740, 0.740, 0.781], [0.260, 0.260, 0.219], [0.500, 0.500, 0.500], [0.000, 0.000, 0.000]],
  "delta_e_f_kj_per_mol_atoms": -23.94,
  "sg": "R-3m, No. 166",
  "m_tot_mub_per_cell": 0.00
}